1.
Material: Pb2Au
Method: DFT, SCAN
State: PBEsol geometry

Cell lengths 3.839, 3.839, 6.246 Å; angles 90.00, 90.00, 120.00 degrees
Sites, in units of the cell vectors:
Pb1 0.333 0.667 0.292
Pb2 0.667 0.333 0.708
Au1 0.000 0.000 0.000

Calculated values
energy = -73.64 eV/atom
energy relative to the elements = -69 meV/atom
M_tot = 0.00 μB/cell

=====

2.
Material: Cs2LiI2
Method: DFT, SCAN
State: PBEsol geometry

Cell lengths 4.367, 10.627, 10.627 Å; angles 90.00, 90.00, 90.00 degrees
Sites, in units of the cell vectors:
Cs1 0.000 0.356 0.856
Cs2 0.000 0.856 0.644
Cs3 0.000 0.644 0.144
Cs4 0.000 0.144 0.356
I1 0.500 0.152 0.652
I2 0.500 0.652 0.848
I3 0.500 0.848 0.348
I4 0.500 0.348 0.152
Li1 0.000 0.000 0.000
Li2 0.000 0.500 0.500

Calculated values
energy = -31.35 eV/atom
M_tot = 1.77 μB/cell
formation energy without anion corrections = -1.05 eV/atom

=====

> Which of these has the highest M_tot?

Cs2LiI2

=====

> The highest M_tot belongs to which entry?

Cs2LiI2

=====

> What is the formula in the first record?

Pb2Au